1.
K2CaTa | meta-GGA SCAN | single point on PBEsol structure

a = 7.1216 Å, b = 7.1216 Å, c = 7.1216 Å
α = 140.41°, β = 140.41°, γ = 57.23°
Closest atoms and distances in Å follow each position.
Positions (direct):
K 0.2500 0.7500 0.5000  4 K 3.41
K 0.7500 0.2500 0.5000  4 K 3.41
Ca 0.0000 0.0000 0.0000  4 Ta 3.41
Ta 0.5000 0.5000 0.0000  4 Ca 3.41

Computed properties:
* offset from the most stable computed form: 0.64 eV/f.u.
* density of states at the Fermi level: 3.36 states/eV/f.u.
* E_form: 1297 meV per atom

2.
Mg3Mn4O7 | meta-GGA SCAN | single point on PBEsol structure

a = 11.0373 Å, b = 11.0373 Å, c = 11.0373 Å
α = 164.16°, β = 157.58°, γ = 27.57°
Closest atoms and distances in Å follow each position.
Positions (direct):
Mg 0.0000 0.0000 0.0000  6 O 2.14-2.15
Mg 0.1417 0.1417 0.0000  6 O 2.09-2.16
Mg 0.8583 0.8583 0.0000  6 O 2.09-2.16
Mn 0.2852 0.2852 0.0000  6 O 2.15-2.23
Mn 0.4287 0.4287 0.0000  6 O 2.13-2.16
Mn 0.5713 0.5713 0.0000  6 O 2.13-2.16
Mn 0.7148 0.7148 0.0000  6 O 2.15-2.23
O 0.0699 0.5699 0.5000  4 Mg 2.14-2.16, 2 Mn 2.15
O 0.2088 0.7088 0.5000  2 Mg 2.09, 4 Mn 2.15-2.23
O 0.3589 0.8589 0.5000  4 Mn 2.13-2.19, 2 Mg 2.15
O 0.5000 0.0000 0.5000  2 Mg 2.15, 4 Mn 2.16
O 0.6411 0.1411 0.5000  4 Mn 2.13-2.19, 2 Mg 2.15
O 0.7912 0.2912 0.5000  2 Mg 2.09, 4 Mn 2.15-2.23
O 0.9301 0.4301 0.5000  4 Mg 2.14-2.16, 2 Mn 2.15

Computed properties:
* density of states at the Fermi level: 1.31 states/eV/f.u.
* ΔE_f (raw): -2.352 eV per atom

3.
Li4Mn5Fe3O16 | meta-GGA SCAN | single point on PBEsol structure

a = 5.5780 Å, b = 5.5780 Å, c = 9.1887 Å
α = 90.14°, β = 90.14°, γ = 60.05°
Closest atoms and distances in Å follow each position.
Positions (direct):
Li 0.0000 0.0000 0.0000  4 O 1.74-1.87
Li 0.0023 0.0023 0.5036  4 O 1.73-1.90
Li 0.3287 0.3287 0.6021  4 O 1.86-1.90
Li 0.6623 0.6623 0.1019  4 O 1.86-1.88
Mn 0.1661 0.6553 0.2839  6 O 1.87-1.95
Mn 0.3275 0.3275 0.0099  6 O 1.89-1.99
Mn 0.6553 0.1661 0.2839  6 O 1.87-1.95
Mn 0.6615 0.6615 0.5123  6 O 1.91-1.95
Mn 0.8257 0.8257 0.7841  6 O 1.87-1.95
Fe 0.1706 0.1706 0.2842  6 O 1.87-1.95
Fe 0.3448 0.8202 0.7851  6 O 1.86-1.95
Fe 0.8202 0.3448 0.7851  6 O 1.86-1.95
O 0.0346 0.4787 0.1562  1 Li 1.87, 2 Mn 1.90-1.95, 1 Fe 1.90
O 0.1643 0.1643 0.8967  1 Li 1.85, 1 Mn 1.89, 2 Fe 1.95
O 0.1647 0.6619 0.8998  1 Li 1.87, 2 Mn 1.91-1.95, 1 Fe 1.95
O 0.3320 0.8310 0.3983  1 Li 1.87, 2 Mn 1.91-1.95, 1 Fe 1.95
O 0.3327 0.3327 0.3953  2 Mn 1.87, 1 Fe 1.87, 1 Li 1.90
O 0.4772 0.4772 0.1587  1 Li 1.86, 3 Mn 1.90-1.99
O 0.4787 0.0346 0.1562  1 Li 1.87, 2 Mn 1.90-1.95, 1 Fe 1.90
O 0.5159 0.5159 0.6555  1 Li 1.87, 2 Fe 1.89, 1 Mn 1.93
O 0.5169 0.9577 0.6571  1 Li 1.86, 2 Mn 1.90-1.95, 1 Fe 1.91
O 0.6619 0.1647 0.8998  1 Li 1.87, 2 Mn 1.91-1.95, 1 Fe 1.95
O 0.6651 0.6651 0.8969  2 Fe 1.86, 1 Mn 1.87, 1 Li 1.88
O 0.8310 0.3320 0.3983  1 Li 1.87, 2 Mn 1.91-1.95, 1 Fe 1.95
O 0.8314 0.8314 0.4010  1 Li 1.90, 3 Mn 1.94
O 0.9577 0.5169 0.6571  1 Li 1.86, 2 Mn 1.90-1.95, 1 Fe 1.91
O 0.9980 0.9980 0.1890  1 Li 1.74, 2 Mn 1.87, 1 Fe 1.88
O 0.9988 0.9988 0.6923  1 Li 1.73, 1 Mn 1.87, 2 Fe 1.88

Computed properties:
* density of states at the Fermi level: 1.42 states/eV/f.u.
* ΔE_f (raw): -2.060 eV per atom

4.
MnCrH18N6F6 | meta-GGA SCAN | single point on PBEsol structure

a = 9.9273 Å, b = 9.9273 Å, c = 9.9273 Å
α = 90.00°, β = 90.00°, γ = 90.00°
Closest atoms and distances in Å follow each position.
Positions (direct):
Mn 0.0000 0.0000 0.0000  6 F 1.93
Mn 0.0000 0.5000 0.5000  6 F 1.93
Mn 0.5000 0.0000 0.5000  6 F 1.93
Mn 0.5000 0.5000 0.0000  6 F 1.93
Cr 0.0000 0.0000 0.5000  6 N 2.06
Cr 0.0000 0.5000 0.0000  6 N 2.06
Cr 0.5000 0.0000 0.0000  6 N 2.06
Cr 0.5000 0.5000 0.5000  6 N 2.06
H 0.0402 0.2272 0.6306  1 N 1.04
H 0.0402 0.2728 0.1306  1 N 1.04
H 0.0559 0.1035 0.7415  1 N 1.03
H 0.0559 0.3965 0.2415  1 N 1.03
H 0.1035 0.7415 0.0559  1 N 1.03
H 0.1035 0.7585 0.5559  1 N 1.03
H 0.1296 0.6346 0.1802  1 N 1.04
H 0.1296 0.8654 0.6802  1 N 1.04
H 0.1306 0.0402 0.2728  1 N 1.04
H 0.1306 0.4598 0.7728  1 N 1.04
H 0.1346 0.1802 0.3704  1 N 1.04
H 0.1346 0.3198 0.8704  1 N 1.04
H 0.1802 0.1296 0.6346  1 N 1.04
H 0.1802 0.3704 0.1346  1 N 1.04
H 0.2272 0.6306 0.0402  1 N 1.04
H 0.2272 0.8694 0.5402  1 N 1.04
H 0.2415 0.0559 0.3965  1 N 1.03
H 0.2415 0.4441 0.8965  1 N 1.03
H 0.2585 0.5559 0.3965  1 N 1.03
H 0.2585 0.9441 0.8965  1 N 1.03
H 0.2728 0.1306 0.0402  1 N 1.04
H 0.2728 0.3694 0.5402  1 N 1.04
H 0.3198 0.6296 0.6346  1 N 1.04
H 0.3198 0.8704 0.1346  1 N 1.04
H 0.3654 0.6802 0.3704  1 N 1.04
H 0.3654 0.8198 0.8704  1 N 1.04
H 0.3694 0.5402 0.2728  1 N 1.04
H 0.3694 0.9598 0.7728  1 N 1.04
H 0.3704 0.1346 0.1802  1 N 1.04
H 0.3704 0.3654 0.6802  1 N 1.04
H 0.3965 0.2415 0.0559  1 N 1.03
H 0.3965 0.2585 0.5559  1 N 1.03
H 0.4441 0.6035 0.7415  1 N 1.03
H 0.4441 0.8965 0.2415  1 N 1.03
H 0.4598 0.7272 0.6306  1 N 1.04
H 0.4598 0.7728 0.1306  1 N 1.04
H 0.5402 0.2272 0.8694  1 N 1.04
H 0.5402 0.2728 0.3694  1 N 1.04
H 0.5559 0.1035 0.7585  1 N 1.03
H 0.5559 0.3965 0.2585  1 N 1.03
H 0.6035 0.7415 0.4441  1 N 1.03
H 0.6035 0.7585 0.9441  1 N 1.03
H 0.6296 0.6346 0.3198  1 N 1.04
H 0.6296 0.8654 0.8198  1 N 1.04
H 0.6306 0.0402 0.2272  1 N 1.04
H 0.6306 0.4598 0.7272  1 N 1.04
H 0.6346 0.1802 0.1296  1 N 1.04
H 0.6346 0.3198 0.6296  1 N 1.04
H 0.6802 0.1296 0.8654  1 N 1.04
H 0.6802 0.3704 0.3654  1 N 1.04
H 0.7272 0.6306 0.4598  1 N 1.04
H 0.7272 0.8694 0.9598  1 N 1.04
H 0.7415 0.0559 0.1035  1 N 1.03
H 0.7415 0.4441 0.6035  1 N 1.03
H 0.7585 0.5559 0.1035  1 N 1.03
H 0.7585 0.9441 0.6035  1 N 1.03
H 0.7728 0.1306 0.4598  1 N 1.04
H 0.7728 0.3694 0.9598  1 N 1.04
H 0.8198 0.6296 0.8654  1 N 1.04
H 0.8198 0.8704 0.3654  1 N 1.04
H 0.8654 0.6802 0.1296  1 N 1.04
H 0.8654 0.8198 0.6296  1 N 1.04
H 0.8694 0.5402 0.2272  1 N 1.04
H 0.8694 0.9598 0.7272  1 N 1.04
H 0.8704 0.1346 0.3198  1 N 1.04
H 0.8704 0.3654 0.8198  1 N 1.04
H 0.8965 0.2415 0.4441  1 N 1.03
H 0.8965 0.2585 0.9441  1 N 1.03
H 0.9441 0.6035 0.7585  1 N 1.03
H 0.9441 0.8965 0.2585  1 N 1.03
H 0.9598 0.7272 0.8694  1 N 1.04
H 0.9598 0.7728 0.3694  1 N 1.04
N 0.0762 0.1297 0.6430  3 H 1.03-1.04
N 0.0762 0.3703 0.1430  3 H 1.03-1.04
N 0.1297 0.6430 0.0762  3 H 1.03-1.04
N 0.1297 0.8570 0.5762  3 H 1.03-1.04
N 0.1430 0.0762 0.3703  3 H 1.03-1.04
N 0.1430 0.4238 0.8703  3 H 1.03-1.04
N 0.3570 0.5762 0.3703  3 H 1.03-1.04
N 0.3570 0.9238 0.8703  3 H 1.03-1.04
N 0.3703 0.1430 0.0762  3 H 1.03-1.04
N 0.3703 0.3570 0.5762  3 H 1.03-1.04
N 0.4238 0.6297 0.6430  3 H 1.03-1.04
N 0.4238 0.8703 0.1430  3 H 1.03-1.04
N 0.5762 0.1297 0.8570  3 H 1.03-1.04
N 0.5762 0.3703 0.3570  3 H 1.03-1.04
N 0.6297 0.6430 0.4238  3 H 1.03-1.04
N 0.6297 0.8570 0.9238  3 H 1.03-1.04
N 0.6430 0.0762 0.1297  3 H 1.03-1.04
N 0.6430 0.4238 0.6297  3 H 1.03-1.04
N 0.8570 0.5762 0.1297  3 H 1.03-1.04
N 0.8570 0.9238 0.6297  3 H 1.03-1.04
N 0.8703 0.1430 0.4238  3 H 1.03-1.04
N 0.8703 0.3570 0.9238  3 H 1.03-1.04
N 0.9238 0.6297 0.8570  3 H 1.03-1.04
N 0.9238 0.8703 0.3570  3 H 1.03-1.04
F 0.0642 0.6192 0.3598  3 H 1.85-2.06, 1 Mn 1.93
F 0.0642 0.8808 0.8598  3 H 1.85-2.06, 1 Mn 1.93
F 0.1192 0.1402 0.9358  3 H 1.85-2.06, 1 Mn 1.93
F 0.1192 0.3598 0.4358  3 H 1.85-2.06, 1 Mn 1.93
F 0.1402 0.5642 0.6192  3 H 1.85-2.06, 1 Mn 1.93
F 0.1402 0.9358 0.1192  3 H 1.85-2.06, 1 Mn 1.93
F 0.3598 0.0642 0.6192  3 H 1.85-2.06, 1 Mn 1.93
F 0.3598 0.4358 0.1192  3 H 1.85-2.06, 1 Mn 1.93
F 0.3808 0.6402 0.9358  3 H 1.85-2.06, 1 Mn 1.93
F 0.3808 0.8598 0.4358  3 H 1.85-2.06, 1 Mn 1.93
F 0.4358 0.1192 0.3598  3 H 1.85-2.06, 1 Mn 1.93
F 0.4358 0.3808 0.8598  3 H 1.85-2.06, 1 Mn 1.93
F 0.5642 0.6192 0.1402  3 H 1.85-2.06, 1 Mn 1.93
F 0.5642 0.8808 0.6402  3 H 1.85-2.06, 1 Mn 1.93
F 0.6192 0.1402 0.5642  3 H 1.85-2.06, 1 Mn 1.93
F 0.6192 0.3598 0.0642  3 H 1.85-2.06, 1 Mn 1.93
F 0.6402 0.5642 0.8808  3 H 1.85-2.06, 1 Mn 1.93
F 0.6402 0.9358 0.3808  3 H 1.85-2.06, 1 Mn 1.93
F 0.8598 0.0642 0.8808  3 H 1.85-2.06, 1 Mn 1.93
F 0.8598 0.4358 0.3808  3 H 1.85-2.06, 1 Mn 1.93
F 0.8808 0.6402 0.5642  3 H 1.85-2.06, 1 Mn 1.93
F 0.8808 0.8598 0.0642  3 H 1.85-2.06, 1 Mn 1.93
F 0.9358 0.1192 0.1402  3 H 1.85-2.06, 1 Mn 1.93
F 0.9358 0.3808 0.6402  3 H 1.85-2.06, 1 Mn 1.93

Computed properties:
* DFT total energy: -843.48 eV/cell
* density of states at the Fermi level: 7.06 states/eV/f.u.

5.
AlCrCo2 | meta-GGA SCAN | single point on PBEsol structure

a = 2.5892 Å, b = 2.5892 Å, c = 6.4921 Å
α = 90.00°, β = 90.00°, γ = 90.00°
Closest atoms and distances in Å follow each position.
Positions (direct):
Al 0.0000 0.0000 0.0000  8 Co 2.46, 4 Al 2.59
Cr 0.0000 0.0000 0.5000  8 Co 2.43, 4 Cr 2.59
Co 0.5000 0.5000 0.2536  4 Cr 2.43, 4 Al 2.46, 4 Co 2.59
Co 0.5000 0.5000 0.7464  4 Cr 2.43, 4 Al 2.46, 4 Co 2.59

Computed properties:
* density of states at the Fermi level: 2.46 states/eV/f.u.
* E_form: -142 meV per atom

6.
LiHgW2I | meta-GGA SCAN | single point on PBEsol structure

a = 5.0986 Å, b = 5.0986 Å, c = 4.5711 Å
α = 90.00°, β = 90.00°, γ = 90.00°
Closest atoms and distances in Å follow each position.
Positions (direct):
Li 0.0000 0.0000 0.0000  2 Hg 2.29
Hg 0.0000 0.0000 0.5000  2 Li 2.29, 4 W 2.55
W 0.0000 0.5000 0.5000  2 Hg 2.55
W 0.5000 0.0000 0.5000  2 Hg 2.55
I 0.5000 0.5000 0.0000  8 W 3.42, 4 Li 3.61

Computed properties:
* density of states at the Fermi level: 2.97 states/eV/f.u.
* ΔE_f (raw): 2.069 eV per atom

7.
BeRe2Ru | meta-GGA SCAN | single point on PBEsol structure

a = 2.7100 Å, b = 3.8005 Å, c = 5.1030 Å
α = 90.00°, β = 90.00°, γ = 90.00°
Closest atoms and distances in Å follow each position.
Positions (direct):
Be 0.0000 0.0000 0.0000  6 Re 2.54-2.66, 4 Ru 2.58, 2 Be 2.71
Re 0.0000 0.0000 0.5030  2 Be 2.54-2.57, 6 Re 2.67-2.71, 4 Ru 2.74
Re 0.5000 0.5000 0.2490  1 Ru 2.38, 4 Be 2.66
Ru 0.5000 0.5000 0.7829  1 Re 2.38, 4 Be 2.58

Computed properties:
* offset from the most stable computed form: 0.44 eV/f.u.
* density of states at the Fermi level: 2.48 states/eV/f.u.
* E_form: 1 meV per atom

8.
Sc2TaCd | meta-GGA SCAN | single point on PBEsol structure

a = 10.9388 Å, b = 10.9388 Å, c = 10.9388 Å
α = 15.69°, β = 15.69°, γ = 15.69°
Closest atoms and distances in Å follow each position.
Positions (direct):
Sc 0.0865 0.0865 0.0865  1 Ta 2.80, 6 Sc 2.99, 3 Cd 3.12
Sc 0.9135 0.9135 0.9135  1 Ta 2.80, 6 Sc 2.99, 3 Cd 3.12
Ta 0.0000 0.0000 0.0000  2 Sc 2.80, 6 Ta 2.99
Cd 0.5000 0.5000 0.5000  6 Cd 2.99, 6 Sc 3.12

Computed properties:
* density of states at the Fermi level: 3.62 states/eV/f.u.
* E_form: 375 meV per atom

9.
P2IrAu | meta-GGA SCAN | single point on PBEsol structure

a = 2.8856 Å, b = 2.8856 Å, c = 7.1745 Å
α = 90.00°, β = 90.00°, γ = 90.00°
Closest atoms and distances in Å follow each position.
Positions (direct):
P 0.0000 0.0000 0.2180  4 Ir 2.57, 4 Au 2.87
P 0.0000 0.0000 0.7820  4 Ir 2.57, 4 Au 2.87
Ir 0.5000 0.5000 0.0000  8 P 2.57
Au 0.5000 0.5000 0.5000  8 P 2.87, 4 Au 2.89

Computed properties:
* offset from the most stable computed form: 1.15 eV/f.u.
* density of states at the Fermi level: 2.50 states/eV/f.u.
* E_form: 352 meV per atom

10.
YBN2F | meta-GGA SCAN | single point on PBEsol structure

a = 3.3778 Å, b = 3.3778 Å, c = 3.8340 Å
α = 90.00°, β = 90.00°, γ = 90.00°
Closest atoms and distances in Å follow each position.
Positions (direct):
Y 0.0000 0.0000 0.0000  4 F 2.39, 8 N 2.55
B 0.5000 0.5000 0.5000  4 N 1.69
N 0.0000 0.5000 0.5000  2 B 1.69
N 0.5000 0.0000 0.5000  2 B 1.69
F 0.5000 0.5000 0.0000  2 B 1.92

Computed properties:
* density of states at the Fermi level: 1.01 states/eV/f.u.
* ΔE_f (raw): -1.069 eV per atom

11.
KMnCr | meta-GGA SCAN | single point on PBEsol structure

a = 6.6989 Å, b = 6.6989 Å, c = 6.6989 Å
α = 152.21°, β = 152.21°, γ = 39.71°
Closest atoms and distances in Å follow each position.
Positions (direct):
K 0.0000 0.0000 0.0000  4 K 3.22, 1 Cr 3.40, 1 Mn 3.43
Mn 0.7278 0.7278 0.0000  4 Cr 2.34
Cr 0.2698 0.2698 0.0000  4 Mn 2.34

Computed properties:
* offset from the most stable computed form: 0.00 eV/f.u.
* density of states at the Fermi level: 1.56 states/eV/f.u.
* E_form: 536 meV per atom

12.
Ag2Au | meta-GGA SCAN | single point on PBEsol structure

a = 4.6277 Å, b = 4.6277 Å, c = 5.5158 Å
α = 90.00°, β = 90.00°, γ = 120.00°
Closest atoms and distances in Å follow each position.
Positions (direct):
Ag 0.0000 0.0000 0.0000  8 Ag 2.76-3.01, 6 Au 3.01
Ag 0.0000 0.0000 0.5000  8 Ag 2.76-3.01, 6 Au 3.01
Ag 0.3333 0.6667 0.2500  5 Au 2.67-2.76
Ag 0.6667 0.3333 0.7500  5 Au 2.67-2.76
Au 0.3333 0.6667 0.7500  5 Ag 2.67-2.76
Au 0.6667 0.3333 0.2500  5 Ag 2.67-2.76

Computed properties:
* offset from the most stable computed form: 0.20 eV/f.u.
* density of states at the Fermi level: 0.75 states/eV/f.u.
* E_form: -10 meV per atom